1.
# CaTb2Zr

A geometry-optimized CaTb2Zr structure (PBE, the Alexandria database). Values from VASP.

Structure (Quantum ESPRESSO input):
```
&SYSTEM
  ibrav = 0, nat = 4, ntyp = 3
/
ATOMIC_SPECIES
Ca 40.08 Ca.upf
Tb 158.93 Tb.upf
Zr 91.22 Zr.upf
ATOMIC_POSITIONS angstrom
Ca 0.0000 0.0000 0.0000
Tb 1.7555 1.7555 2.8961
Tb 1.7555 1.7555 7.2754
Zr 0.0000 0.0000 5.0858
CELL_PARAMETERS angstrom
3.5110 0.0000 0.0000
0.0000 3.5110 0.0000
0.0000 0.0000 10.1715
```

Calculated values
For the uncorrected energy, the calculation gives -19.4 eV/cell. The energy above the most stable polymorph in this dataset comes out at 0.00 kcal/mol of atoms. The total magnetization is 0.0 μB per cell. Its formation energy from the elements is 10.1 kJ per mole of atoms.

=====

2.
# Er2PbO

A geometry-optimized Er2PbO structure (PBE, the Alexandria database). Values from VASP.

Structure (Quantum ESPRESSO input):
```
&SYSTEM
  ibrav = 0, nat = 4, ntyp = 3
/
ATOMIC_SPECIES
Er 167.26 Er.upf
Pb 207.20 Pb.upf
O 16.00 O.upf
ATOMIC_POSITIONS angstrom
Er 0.0000 0.0000 1.5359
Er 0.0000 0.0000 6.2799
Pb 1.5842 1.5842 3.9079
O 1.5842 1.5842 0.0000
CELL_PARAMETERS angstrom
3.1683 0.0000 0.0000
0.0000 3.1683 0.0000
0.0000 0.0000 7.8158
```

Calculated values
For the uncorrected energy, the calculation gives -21.8 eV/cell. The energy above the most stable polymorph in this dataset comes out at 17.87 kcal/mol of atoms. The total magnetization is 0.0 μB per cell. The calculation puts the formation energy without anion corrections at -1.005 eV/atom.

=====

3.
# K2Pa3Se8

A geometry-optimized K2Pa3Se8 structure (PBE, the Alexandria database). Values from VASP.

Structure (Quantum ESPRESSO input):
```
&SYSTEM
  ibrav = 0, nat = 13, ntyp = 3
/
ATOMIC_SPECIES
K 39.10 K.upf
Pa 231.04 Pa.upf
Se 78.96 Se.upf
ATOMIC_POSITIONS angstrom
K 1.2895 0.0000 2.2887
K 4.3331 0.0000 6.5655
Pa -0.8811 2.3432 6.2670
Pa 4.8704 0.0000 0.0000
Pa 6.5037 2.3432 2.5871
Se -0.6082 2.3432 3.4984
Se -1.9650 0.0000 7.6442
Se 0.8098 0.0000 5.8620
Se 3.4951 2.3432 0.8986
Se 2.1276 2.3432 7.9555
Se 4.8128 0.0000 2.9921
Se 7.5876 0.0000 1.2099
Se 6.2309 2.3432 5.3557
CELL_PARAMETERS angstrom
9.7407 0.0000 0.0000
0.0000 4.6864 0.0000
-4.1181 0.0000 8.8541
```

Calculated values
For the uncorrected energy, the calculation gives -75.7 eV/cell. The energy above the most stable polymorph in this dataset comes out at 1.53 kcal/mol of atoms. The total magnetization is 1.1 μB per cell. The calculation puts the formation energy without anion corrections at -1.315 eV/atom.

=====

4.
# Dy2YPd

A geometry-optimized Dy2YPd structure (PBE, the Alexandria database). Values from VASP.

Structure (Quantum ESPRESSO input):
```
&SYSTEM
  ibrav = 0, nat = 8, ntyp = 3
/
ATOMIC_SPECIES
Dy 162.50 Dy.upf
Y 88.91 Y.upf
Pd 106.42 Pd.upf
ATOMIC_POSITIONS angstrom
Dy 1.9047 4.4495 5.2257
Dy 1.9047 4.4495 8.7720
Dy 1.9047 -4.4495 0.5598
Dy 1.9047 -4.4495 4.1061
Y 1.9047 0.7616 6.9988
Y 1.9047 -0.7616 2.3329
Pd 1.9047 2.8854 2.3329
Pd 1.9047 -2.8854 6.9988
CELL_PARAMETERS angstrom
1.9047 -6.1069 0.0000
1.9047 6.1069 0.0000
0.0000 0.0000 9.3318
```

Calculated values
For the uncorrected energy, the calculation gives -45.4 eV/cell. The energy above the most stable polymorph in this dataset comes out at 0.38 kcal/mol of atoms. The total magnetization is 0.0 μB per cell. Its formation energy from the elements is -44.3 kJ per mole of atoms.

=====

5.
# PHPdN2

A geometry-optimized PHPdN2 structure (PBE, the Alexandria database). Values from VASP.

Structure (Quantum ESPRESSO input):
```
&SYSTEM
  ibrav = 0, nat = 5, ntyp = 4
/
ATOMIC_SPECIES
P 30.97 P.upf
H 1.01 H.upf
Pd 106.42 Pd.upf
N 14.01 N.upf
ATOMIC_POSITIONS angstrom
P 0.0000 0.0000 0.0000
H 0.0000 0.0000 1.5608
Pd 1.8394 1.8394 1.5608
N 0.0000 1.8394 0.0000
N 1.8394 0.0000 0.0000
CELL_PARAMETERS angstrom
3.6788 0.0000 0.0000
0.0000 3.6788 0.0000
0.0000 0.0000 3.1216
```

Calculated values
For the uncorrected energy, the calculation gives -26.6 eV/cell. The total magnetization is 0.0 μB per cell.

=====

6.
# PAu3

A geometry-optimized PAu3 structure (PBE, the Alexandria database). Values from VASP.

Structure (Quantum ESPRESSO input):
```
&SYSTEM
  ibrav = 0, nat = 4, ntyp = 2
/
ATOMIC_SPECIES
P 30.97 P.upf
Au 196.97 Au.upf
ATOMIC_POSITIONS angstrom
P 0.0000 0.0000 0.0000
Au 0.0000 1.7384 1.8402
Au 0.0000 1.7384 5.6700
Au 1.4034 0.0000 3.7551
CELL_PARAMETERS angstrom
2.8069 0.0000 0.0000
0.0000 3.4768 0.0000
0.0000 0.0000 7.5102
```

Calculated values
For the uncorrected energy, the calculation gives -14.6 eV/cell. The energy above the most stable polymorph in this dataset comes out at 3.29 kcal/mol of atoms. The total magnetization is 0.0 μB per cell. Its formation energy from the elements is 16.2 kJ per mole of atoms.

=====

7.
# PaTaSb

A geometry-optimized PaTaSb structure (PBE, the Alexandria database). Values from VASP.

Structure (Quantum ESPRESSO input):
```
&SYSTEM
  ibrav = 0, nat = 3, ntyp = 3
/
ATOMIC_SPECIES
Pa 231.04 Pa.upf
Ta 180.95 Ta.upf
Sb 121.76 Sb.upf
ATOMIC_POSITIONS angstrom
Pa 0.0000 0.0000 0.0000
Ta 0.0000 0.0000 7.6315
Sb 0.0000 0.0000 3.4128
CELL_PARAMETERS angstrom
-1.7453 1.7453 5.6914
1.7453 -1.7453 5.6914
1.7453 1.7453 -5.6914
```

Calculated values
For the uncorrected energy, the calculation gives -25.5 eV/cell. The energy above the most stable polymorph in this dataset comes out at 0.00 kcal/mol of atoms. The total magnetization is 0.8 μB per cell. The calculation puts the formation energy without anion corrections at 0.001 eV/atom.

=====

8.
# Sr2HgP

A geometry-optimized Sr2HgP structure (PBE, the Alexandria database). Values from VASP.

Structure (Quantum ESPRESSO input):
```
&SYSTEM
  ibrav = 0, nat = 4, ntyp = 3
/
ATOMIC_SPECIES
Sr 87.62 Sr.upf
Hg 200.59 Hg.upf
P 30.97 P.upf
ATOMIC_POSITIONS angstrom
Sr 1.9317 1.9317 1.9317
Sr 5.7950 5.7950 5.7950
Hg 0.0000 0.0000 0.0000
P 3.8633 3.8633 3.8633
CELL_PARAMETERS angstrom
0.0000 3.8633 3.8633
3.8633 0.0000 3.8633
3.8633 3.8633 0.0000
```

Calculated values
For the uncorrected energy, the calculation gives -11.7 eV/cell. The energy above the most stable polymorph in this dataset comes out at 3.91 kcal/mol of atoms. The total magnetization is 0.0 μB per cell. Its formation energy from the elements is -62.5 kJ per mole of atoms.

=====

9.
# UTaP2Ru5

A geometry-optimized UTaP2Ru5 structure (PBE, the Alexandria database). Values from VASP.

Structure (Quantum ESPRESSO input):
```
&SYSTEM
  ibrav = 0, nat = 9, ntyp = 4
/
ATOMIC_SPECIES
U 238.03 U.upf
Ta 180.95 Ta.upf
P 30.97 P.upf
Ru 101.07 Ru.upf
ATOMIC_POSITIONS angstrom
U 0.0000 0.0000 0.0000
Ta 0.0000 0.0000 4.2336
P 2.0112 2.0112 1.1502
P 2.0112 2.0112 7.3169
Ru 0.0000 2.0112 2.2953
Ru 0.0000 2.0112 6.1719
Ru 2.0112 0.0000 2.2953
Ru 2.0112 0.0000 6.1719
Ru 2.0112 2.0112 4.2336
CELL_PARAMETERS angstrom
4.0224 0.0000 0.0000
0.0000 4.0224 0.0000
0.0000 0.0000 8.4671
```

Calculated values
For the uncorrected energy, the calculation gives -85.7 eV/cell. The total magnetization is 1.0 μB per cell. Its formation energy from the elements is -57.8 kJ per mole of atoms.

=====

10.
# CdS2N

A geometry-optimized CdS2N structure (PBE, the Alexandria database). Values from VASP.

Structure (Quantum ESPRESSO input):
```
&SYSTEM
  ibrav = 0, nat = 4, ntyp = 3
/
ATOMIC_SPECIES
Cd 112.41 Cd.upf
S 32.06 S.upf
N 14.01 N.upf
ATOMIC_POSITIONS angstrom
Cd 0.0000 0.0000 0.0000
S 1.6086 1.6086 1.6086
S 4.8258 4.8258 4.8258
N 3.2172 3.2172 3.2172
CELL_PARAMETERS angstrom
0.0000 3.2172 3.2172
3.2172 0.0000 3.2172
3.2172 3.2172 0.0000
```

Calculated values
For the uncorrected energy, the calculation gives -11.6 eV/cell. The energy above the most stable polymorph in this dataset comes out at 22.14 kcal/mol of atoms. The total magnetization is 1.5 μB per cell. The calculation puts the formation energy without anion corrections at 1.471 eV/atom.

=====

Question: What is the formula in the second record?
Answer: Er2PbO

=====

Question: total magnetization of number 4 (Dy2YPd)?
Answer: 0.0 μB per cell